Below is a relaxed structure of Pm12AlCo6, with properties calculated at the PBE level.

Properties
* energy relative to the elements: -0.131 eV/atom
* symmetry: Im-3
* total DFT energy (no corrections): -105.9 eV/cell
* magnetization: 0.001 μB per cell

Unit cell a=8.571 b=8.571 c=8.571 alpha=109.47 beta=109.47 gamma=109.47
Element x y z (fractional)
Pm: 0.303 0.111 0.808
Pm: 0.303 0.496 0.192
Pm: 0.697 0.504 0.808
Pm: 0.697 0.889 0.192
Pm: 0.111 0.808 0.303
Pm: 0.496 0.192 0.303
Pm: 0.504 0.808 0.697
Pm: 0.889 0.192 0.697
Pm: 0.808 0.303 0.111
Pm: 0.192 0.303 0.496
Pm: 0.808 0.697 0.504
Pm: 0.192 0.697 0.889
Al: 0.000 0.000 0.000
Co: 0.388 0.500 0.888
Co: 0.612 0.500 0.112
Co: 0.500 0.888 0.388
Co: 0.500 0.112 0.612
Co: 0.888 0.388 0.500
Co: 0.112 0.612 0.500